# 1
Here is a relaxed structure of SnW from the Alexandria database. Energies are from PBE.

The calculation puts the magnetization at 0.00 μB/f.u. The calculation puts the final energy at -7.990 eV/atom. The crystal system is orthorhombic. The excess energy over the best structure of this formula in the dataset comes out at 47 meV/atom. As for the density of states at the Fermi level: 3.43 states/eV per cell. Its symmetry is Amm2.

The structure in POSCAR format:
```
SnW
1.0
3.176 0.000 0.000
0.000 6.134 3.322
0.000 -6.134 3.322
Sn W
3 3
Direct
0.000 0.000 0.000 Sn
0.500 0.425 0.907 Sn
0.500 0.907 0.425 Sn
0.000 0.285 0.501 W
0.000 0.501 0.285 W
0.500 0.638 0.638 W
```

=====

# 2
Here is a relaxed structure of YSnW3 from the Alexandria database. Energies are from PBE.

The calculation puts the magnetization at 0.00 μB/f.u. The calculation puts the final energy at -7.812 eV/atom. The crystal system is cubic. The excess energy over the best structure of this formula in the dataset comes out at 0 meV/atom. As for the density of states at the Fermi level: 4.98 states/eV per cell. Its symmetry is Pm-3m.

The structure in POSCAR format:
```
YSnW3
1.0
4.949 0.000 0.000
0.000 4.949 0.000
0.000 0.000 4.949
Y Sn W
1 1 3
Direct
0.000 0.000 0.000 Y
0.500 0.500 0.500 Sn
0.000 0.500 0.500 W
0.500 0.000 0.500 W
0.500 0.500 0.000 W
```